TlCoSeO | PBE with a Hubbard U | optimized geometry

Summary:
Crystal system: orthorhombic
E_tot (eV per formula unit): -17.94
Space group: Pmc2_1 (26)

extended XYZ file:
```
8
Lattice="4.014 0.000 0.000 0.000 7.521 0.000 0.000 0.000 5.770" Properties=species:S:1:pos:R:3 pbc="T T T"
Tl 0.000 1.543 0.000
Tl 0.000 5.977 2.885
Co 2.007 2.961 2.409
Co 2.007 4.560 5.294
Se 0.000 1.602 2.919
Se 0.000 5.919 0.034
O 2.007 2.902 0.452
O 2.007 4.619 3.337
```